[1]
The following is a PBE calculation of a relaxed Ca2Tl3Ag2 crystal, from Alexandria.

The space group is C2/m (No. 12) and the conventional cell measures 11.4933, 4.3723 and 7.6288 Å, with angles of 90.00, 96.75 and 90.00 degrees. The asymmetric unit holds Ca at (0.1185, 0.0000, 0.3362), Tl at (0.0000, 0.5000, 0.0000), Tl at (0.2048, 0.0000, 0.8495) and Ag at (0.0901, 0.5000, 0.6363).

The total magnetization is 0.00 μB/f.u. The density of states at the Fermi level comes out at 6.4 states/eV per cell. The calculation puts the energy at -36.74 eV per cell. The excess energy over the best structure of this formula in the dataset comes out at 5 meV per atom.

[2]
The following is a PBE calculation of a relaxed Ca2TlAg3 crystal, from Alexandria.

The space group is Fmmm (No. 69) and the conventional cell measures 7.1243, 9.7973 and 17.0148 Å, with angles of 90.00, 90.00 and 90.00 degrees. The asymmetric unit holds Ca at (0.2456, 0.0000, 0.0000), Ca at (0.2500, 0.2500, 0.2500), Tl at (0.0000, 0.0000, 0.3331), Ag at (0.0000, 0.0000, 0.1643) and Ag at (0.0000, 0.2471, 0.0822).

The total magnetization is 0.00 μB/f.u. The density of states at the Fermi level comes out at 29.9 states/eV per cell. The calculation puts the energy at -131.84 eV per cell. The excess energy over the best structure of this formula in the dataset comes out at 0 meV per atom.

[3]
The following is a PBE calculation of a relaxed CaTlAg3 crystal, from Alexandria.

The space group is Imma (No. 74) and the conventional cell measures 5.6791, 7.8057 and 10.5018 Å, with angles of 90.00, 90.00 and 90.00 degrees. The asymmetric unit holds Ca at (0.0000, 0.2500, 0.0040), Tl at (0.0000, 0.0000, 0.5000), Ag at (0.0000, 0.2500, 0.2948) and Ag at (0.2500, 0.0689, 0.7500).

The total magnetization is 0.00 μB/f.u. The density of states at the Fermi level comes out at 10.5 states/eV per cell. The calculation puts the energy at -53.89 eV per cell. The excess energy over the best structure of this formula in the dataset comes out at 0 meV per atom.

[4]
The following is a PBE calculation of a relaxed Ca3Tl4Ag2 crystal, from Alexandria.

The space group is C2/m (No. 12) and the conventional cell measures 11.6687, 4.8918 and 9.1714 Å, with angles of 90.00, 106.04 and 90.00 degrees. The asymmetric unit holds Ca at (0.0000, 0.0000, 0.0000), Ca at (0.1173, 0.5000, 0.3746), Tl at (0.0893, 0.0000, 0.6659), Tl at (0.1743, 0.5000, 0.0373) and Ag at (0.2352, 0.5000, 0.7360).

The total magnetization is 0.00 μB/f.u. The density of states at the Fermi level comes out at 8.2 states/eV per cell. The calculation puts the energy at -46.52 eV per cell. The excess energy over the best structure of this formula in the dataset comes out at 66 meV per atom.